The following is a DFT calculation (PBE) of a relaxed structure of TaMnTl2.

a = 4.890 Å, b = 4.890 Å, c = 4.890 Å
α = 60.00°, β = 60.00°, γ = 60.00°
Fractional positions:
Ta  0.000  0.000  0.000
Mn  0.750  0.750  0.750
Tl  0.250  0.250  0.250
Tl  0.500  0.500  0.500

Results
Its total magnetic moment is 0.472 μB/atom. Its symmetry is F-43m, No. 216. As for the excess energy over the best structure of this formula in the dataset: 469.8 meV per atom. As for the raw total energy: -5.57 eV/atom. For the formation energy, the calculation gives 871 meV per atom.

The following is a DFT calculation (PBE) of a relaxed structure of TaMnTl2.

a = 5.815 Å, b = 5.815 Å, c = 3.064 Å
α = 104.00°, β = 104.00°, γ = 115.13°
Fractional positions:
Ta  0.000  0.000  0.000
Mn  0.500  0.500  0.000
Tl  0.000  0.500  0.500
Tl  0.500  0.000  0.500

Results
Its total magnetic moment is 0.924 μB/atom. Its symmetry is C2/m, No. 12. As for the excess energy over the best structure of this formula in the dataset: 234.5 meV per atom. As for the raw total energy: -5.80 eV/atom. For the formation energy, the calculation gives 635 meV per atom.

The following is a DFT calculation (PBE) of a relaxed structure of TaMn2Tl.

a = 4.623 Å, b = 4.623 Å, c = 4.623 Å
α = 125.35°, β = 125.35°, γ = 80.95°
Fractional positions:
Ta  0.000  0.000  0.000
Mn  0.250  0.750  0.500
Mn  0.750  0.250  0.500
Tl  0.500  0.500  0.000

Results
Its total magnetic moment is 0.896 μB/atom. Its symmetry is I4/mmm, No. 139. As for the excess energy over the best structure of this formula in the dataset: 132.8 meV per atom. As for the raw total energy: -7.78 eV/atom. For the formation energy, the calculation gives 355 meV per atom.

The following is a DFT calculation (PBE) of a relaxed structure of TaMnTl2.

a = 4.723 Å, b = 4.723 Å, c = 4.723 Å
α = 60.00°, β = 60.00°, γ = 60.00°
Fractional positions:
Ta  0.000  0.000  0.000
Mn  0.500  0.500  0.500
Tl  0.250  0.250  0.250
Tl  0.750  0.750  0.750

Results
Its total magnetic moment is 0.000 μB/atom. Its symmetry is Fm-3m, No. 225. As for the excess energy over the best structure of this formula in the dataset: 596.4 meV per atom. As for the raw total energy: -5.44 eV/atom. For the formation energy, the calculation gives 997 meV per atom.

Repeat the fourth record exactly.
The following is a DFT calculation (PBE) of a relaxed structure of TaMnTl2.

a = 4.723 Å, b = 4.723 Å, c = 4.723 Å
α = 60.00°, β = 60.00°, γ = 60.00°
Fractional positions:
Ta  0.000  0.000  0.000
Mn  0.500  0.500  0.500
Tl  0.250  0.250  0.250
Tl  0.750  0.750  0.750

Results
Its total magnetic moment is 0.000 μB/atom. Its symmetry is Fm-3m, No. 225. As for the excess energy over the best structure of this formula in the dataset: 596.4 meV per atom. As for the raw total energy: -5.44 eV/atom. For the formation energy, the calculation gives 997 meV per atom.

Copy entry 3 word for word.
The following is a DFT calculation (PBE) of a relaxed structure of TaMn2Tl.

a = 4.623 Å, b = 4.623 Å, c = 4.623 Å
α = 125.35°, β = 125.35°, γ = 80.95°
Fractional positions:
Ta  0.000  0.000  0.000
Mn  0.250  0.750  0.500
Mn  0.750  0.250  0.500
Tl  0.500  0.500  0.000

Results
Its total magnetic moment is 0.896 μB/atom. Its symmetry is I4/mmm, No. 139. As for the excess energy over the best structure of this formula in the dataset: 132.8 meV per atom. As for the raw total energy: -7.78 eV/atom. For the formation energy, the calculation gives 355 meV per atom.